(1)
The following is a DFT calculation (SCAN) of a PBEsol-optimized structure of Zr2TlAg.

abc: 3.195 4.238 6.005
angles: 90.00 90.00 90.00
Space group Pmmm (No. 47)
Unique sites:
Zr (0.000, 0.000, 0.244)
Tl (0.500, 0.500, 0.500)
Ag (0.500, 0.500, 0.000)

Output
D(E_F) (states/eV/atom): 0.857
Formation enthalpy at 0 K (meV/atom): -154
DFT total energy (eV per atom): -41.435

(2)
The following is a DFT calculation (SCAN) of a PBEsol-optimized structure of Zr2TlAg.

abc: 4.337 4.337 4.306
angles: 90.00 90.00 90.00
Space group P4/mmm (No. 123)
Unique sites:
Zr (0.000, 0.500, 0.000)
Tl (0.000, 0.000, 0.500)
Ag (0.500, 0.500, 0.500)

Output
D(E_F) (states/eV/atom): 0.978
Formation enthalpy at 0 K (meV/atom): -174
DFT total energy (eV per atom): -41.455

(3)
The following is a DFT calculation (SCAN) of a PBEsol-optimized structure of Zr2TlAg.

abc: 4.357 4.357 8.544
angles: 90.00 90.00 90.00
Space group I4/mmm (No. 139)
Unique sites:
Zr (0.000, 0.500, 0.250)
Tl (0.000, 0.000, 0.000)
Ag (0.000, 0.000, 0.500)

Output
D(E_F) (states/eV/atom): 0.925
Formation enthalpy at 0 K (meV/atom): -174
DFT total energy (eV per atom): -41.454

(4)
The following is a DFT calculation (SCAN) of a PBEsol-optimized structure of ZrTlAg2.

abc: 3.239 3.239 7.397
angles: 90.00 90.00 90.00
Space group P4mm (No. 99)
Unique sites:
Zr (0.000, 0.000, 0.000)
Tl (0.500, 0.500, 0.720)
Ag (0.000, 0.000, 0.465)
Ag (0.500, 0.500, 0.247)

Output
D(E_F) (states/eV/atom): 0.617
Formation enthalpy at 0 K (meV/atom): 4
DFT total energy (eV per atom): -41.444

(5)
The following is a DFT calculation (SCAN) of a PBEsol-optimized structure of TmAg2.

abc: 3.623 3.623 8.996
angles: 90.00 90.00 90.00
Space group I4/mmm (No. 139)
Unique sites:
Tm (0.000, 0.000, 0.000)
Ag (0.000, 0.000, 0.330)

Output
D(E_F) (states/eV/atom): 0.300
Formation enthalpy at 0 K (meV/atom): -386
DFT total energy (eV per atom): -38.574

(6)
The following is a DFT calculation (SCAN) of a PBEsol-optimized structure of Tm2ZnAg.

abc: 6.984 6.984 6.984
angles: 90.00 90.00 90.00
Space group Fm-3m (No. 225)
Unique sites:
Tm (0.250, 0.250, 0.250)
Zn (0.000, 0.000, 0.000)
Ag (0.000, 0.000, 0.500)

Output
D(E_F) (states/eV/atom): 0.644
Formation enthalpy at 0 K (meV/atom): -421
DFT total energy (eV per atom): -37.558

(7)
The following is a DFT calculation (SCAN) of a PBEsol-optimized structure of AgW3.

abc: 5.578 8.521 2.662
angles: 90.00 90.00 90.00
Space group Cmmm (No. 65)
Unique sites:
Ag (0.000, 0.000, 0.000)
W (0.000, 0.500, 0.000)
W (0.250, 0.250, 0.500)

Output
D(E_F) (states/eV/atom): 0.533
Formation enthalpy at 0 K (meV/atom): 586
DFT total energy (eV per atom): -59.522
Polymorph energy (0 for the lowest one) (eV per atom): 0.013

(8)
The following is a DFT calculation (SCAN) of a PBEsol-optimized structure of AgW3.

abc: 2.7542 2.7542 9.7601
angles: 90.00 90.00 120.00
Space group P-6m2 (No. 187)
Unique sites:
Ag (0.0000, 0.0000, 0.0000)
W (0.0000, 0.0000, 0.5000)
W (0.6667, 0.3333, 0.2512)

Output
D(E_F) (states/eV/atom): 0.655
Formation enthalpy at 0 K (meV/atom): 600
DFT total energy (eV per atom): -59.507
Polymorph energy (0 for the lowest one) (eV per atom): 0.027

(9)
The following is a DFT calculation (SCAN) of a PBEsol-optimized structure of AgW3.

abc: 3.967 3.967 3.967
angles: 90.00 90.00 90.00
Space group Pm-3m (No. 221)
Unique sites:
Ag (0.000, 0.000, 0.000)
W (0.000, 0.500, 0.500)

Output
D(E_F) (states/eV/atom): 0.491
Formation enthalpy at 0 K (meV/atom): 573
DFT total energy (eV per atom): -59.534
Polymorph energy (0 for the lowest one) (eV per atom): 0.000

(10)
The following is a DFT calculation (SCAN) of a PBEsol-optimized structure of Ag2W.

abc: 4.5776 4.5776 2.6464
angles: 90.00 90.00 120.00
Space group P6/mmm (No. 191)
Unique sites:
Ag (0.3333, 0.6667, 0.0000)
W (0.0000, 0.0000, 0.5000)

Output
D(E_F) (states/eV/atom): 0.816
Formation enthalpy at 0 K (meV/atom): 873
DFT total energy (eV per atom): -43.268
Polymorph energy (0 for the lowest one) (eV per atom): 0.000

(11)
The following is a DFT calculation (SCAN) of a PBEsol-optimized structure of Ag2W.

abc: 6.632 6.632 4.818
angles: 90.00 90.00 90.00
Space group I4/mcm (No. 140)
Unique sites:
Ag (0.148, 0.352, 0.000)
W (0.000, 0.000, 0.250)

Output
D(E_F) (states/eV/atom): 0.557
Formation enthalpy at 0 K (meV/atom): 925
DFT total energy (eV per atom): -43.216
Polymorph energy (0 for the lowest one) (eV per atom): 0.052

(12)
The following is a DFT calculation (SCAN) of a PBEsol-optimized structure of AgW3.

abc: 2.634 4.304 5.602
angles: 90.00 90.00 90.00
Space group Pmmm (No. 47)
Unique sites:
Ag (0.000, 0.000, 0.000)
W (0.000, 0.000, 0.500)
W (0.500, 0.500, 0.252)

Output
D(E_F) (states/eV/atom): 0.584
Formation enthalpy at 0 K (meV/atom): 585
DFT total energy (eV per atom): -59.523
Polymorph energy (0 for the lowest one) (eV per atom): 0.011

(13)
The following is a DFT calculation (SCAN) of a PBEsol-optimized structure of Y2AgW.

abc: 6.909 6.909 6.909
angles: 90.00 90.00 90.00
Space group F-43m (No. 216)
Unique sites:
Y (0.000, 0.000, 0.000)
Y (0.250, 0.250, 0.250)
Ag (0.250, 0.250, 0.750)
W (0.000, 0.000, 0.500)

Output
D(E_F) (states/eV/atom): 1.245
Formation enthalpy at 0 K (meV/atom): 662
DFT total energy (eV per atom): -38.523

(14)
The following is a DFT calculation (SCAN) of a PBEsol-optimized structure of YAgW2.

abc: 2.853 4.273 6.132
angles: 90.00 99.12 90.00
Space group Pm (No. 6)
Unique sites:
Y (0.000, 0.000, 0.000)
Ag (0.583, 0.500, 0.265)
W (0.153, 0.000, 0.525)
W (0.506, 0.500, 0.717)

Output
D(E_F) (states/eV/atom): 0.597
Formation enthalpy at 0 K (meV/atom): 467
DFT total energy (eV per atom): -49.179
Polymorph energy (0 for the lowest one) (eV per atom): 0.000

(15)
The following is a DFT calculation (SCAN) of a PBEsol-optimized structure of YAgW2.

abc: 3.910 3.910 4.778
angles: 90.00 90.00 90.00
Space group P4/mmm (No. 123)
Unique sites:
Y (0.000, 0.000, 0.000)
Ag (0.500, 0.500, 0.000)
W (0.000, 0.500, 0.500)

Output
D(E_F) (states/eV/atom): 0.615
Formation enthalpy at 0 K (meV/atom): 602
DFT total energy (eV per atom): -49.045
Polymorph energy (0 for the lowest one) (eV per atom): 0.135

(16)
The following is a DFT calculation (SCAN) of a PBEsol-optimized structure of Zn2AgW.

abc: 2.816 4.493 4.788
angles: 90.00 90.00 90.00
Space group Pmmm (No. 47)
Unique sites:
Zn (0.000, 0.000, 0.000)
Zn (0.500, 0.000, 0.500)
Ag (0.000, 0.500, 0.500)
W (0.500, 0.500, 0.000)

Output
D(E_F) (states/eV/atom): 0.575
Formation enthalpy at 0 K (meV/atom): 521
DFT total energy (eV per atom): -31.500
Polymorph energy (0 for the lowest one) (eV per atom): 0.226